Compound: Hf2FeO
Source: the Alexandria database
Functional: GGA+U
Structure: optimized geometry

As for the total energy: -132.881 eV/cell. The calculation puts the volume at 18.10 A^3/atom. The total moment is 3.4 μB per formula unit. The value obtained for the density of states at the Fermi level is 3.6 states/eV/f.u.

The structure belongs to space group I-42d (No. 122); the cell edges are 6.450, 6.450 and 6.963 Å and the angles 90.00°, 90.00° and 90.00°. The asymmetric unit holds Hf at (0.150, 0.250, 0.125), Fe at (0.000, 0.000, 0.500) and O at (0.000, 0.000, 0.000).